# 1
{
  "formula": "BaGaSi2Ni",
  "functional": "GGA-PBE",
  "state": "relaxed",
  "lattice": [[-2.3331, -5.0678, 1.5511], [0.4953, -1.6645, -4.6932], [5.2688, -2.0346, 1.2776]],
  "species": ["Ni", "Si", "Si", "Ba", "Ga"],
  "frac_coords": [[0.0000, 0.5000, 0.0000], [0.0000, 0.0000, 0.5000], [0.5000, 0.0000, 0.0000], [0.0000, 0.0000, 0.0000], [0.5000, 0.5000, 0.5000]],
  "formation_energy_uncorrected_ev_per_atom": 1.73,
  "magmom_total_mub_per_cell": 0.00,
  "space_group": "P4/mmm (123)"
}

# 2
{
  "formula": "La7Y2Ho3",
  "functional": "GGA-PBE",
  "state": "relaxed",
  "lattice": [[3.6423, 0.0000, 0.0000], [0.0000, 5.9394, -0.2454], [0.0000, -3.7563, 19.4576]],
  "species": ["La", "La", "La", "La", "La", "La", "La", "Y", "Y", "Ho", "Ho", "Ho"],
  "frac_coords": [[0.5000, 0.7259, 0.4676], [0.5000, 0.2741, 0.5324], [0.0000, 0.4769, 0.1456], [0.0000, 0.0000, 0.0000], [0.0000, 0.5231, 0.8544], [0.5000, 0.9865, 0.8151], [0.5000, 0.0135, 0.1849], [0.5000, 0.5954, 0.2995], [0.5000, 0.4046, 0.7005], [0.5000, 0.5000, 0.0000], [0.0000, 0.1494, 0.3654], [0.0000, 0.8506, 0.6346]],
  "e_form_ev_per_atom": 0.095,
  "magmom_total_mub_per_cell": 0.00,
  "e_above_lowest_polymorph_ev_per_fu": 0.36,
  "space_group": "P2/m (10)"
}

# 3
{
  "formula": "Na6Pd",
  "functional": "GGA-PBE",
  "state": "relaxed",
  "lattice": [[7.2446, 0.0000, 0.0000], [-2.4149, 6.8302, 0.0000], [-2.4149, -3.4151, 5.9152]],
  "species": ["Na", "Na", "Na", "Na", "Na", "Na", "Pd"],
  "frac_coords": [[0.2500, 0.7500, 0.5000], [0.5000, 0.7500, 0.2500], [0.2500, 0.5000, 0.7500], [0.7500, 0.2500, 0.5000], [0.5000, 0.2500, 0.7500], [0.7500, 0.5000, 0.2500], [0.0000, 0.0000, 0.0000]],
  "e_form_ev_per_atom": 0.666,
  "magmom_total_mub_per_cell": 0.00,
  "e_above_lowest_polymorph_ev_per_fu": 4.81,
  "space_group": "Im-3m (229)"
}

# 4
{
  "formula": "TlOs2Pt",
  "functional": "GGA-PBE",
  "state": "relaxed",
  "lattice": [[-4.0616, -0.0747, -2.7064], [-0.2226, -2.8049, 0.4116], [-2.6654, 0.9849, 3.9728]],
  "species": ["Os", "Os", "Pt", "Tl"],
  "frac_coords": [[0.0000, 0.9712, 0.0244], [0.0000, 0.5288, 0.4756], [0.5000, 0.2500, 0.2500], [0.5000, 0.7500, 0.7500]],
  "e_form_ev_per_atom": 0.780,
  "magmom_total_mub_per_cell": 0.00,
  "e_above_lowest_polymorph_ev_per_fu": 1.57,
  "space_group": "P2/m (10)"
}

# 5
{
  "formula": "BeF",
  "functional": "GGA-PBE",
  "state": "relaxed",
  "lattice": [[4.3239, 0.0000, 0.0000], [0.0000, 4.3239, 0.0000], [0.0000, 0.0000, 4.3239]],
  "species": ["Be", "Be", "Be", "Be", "F", "F", "F", "F"],
  "frac_coords": [[0.0000, 0.0000, 0.0000], [0.0000, 0.5000, 0.5000], [0.5000, 0.0000, 0.5000], [0.5000, 0.5000, 0.0000], [0.5000, 0.5000, 0.5000], [0.5000, 0.0000, 0.0000], [0.0000, 0.5000, 0.0000], [0.0000, 0.0000, 0.5000]],
  "formation_energy_uncorrected_ev_per_atom": -0.60,
  "magmom_total_mub_per_cell": 0.00,
  "e_above_lowest_polymorph_ev_per_fu": 2.82,
  "space_group": "Fm-3m (225)"
}

# 6
{
  "formula": "Pr2MgZn3Pd4",
  "functional": "GGA-PBE",
  "state": "relaxed",
  "lattice": [[4.2332, 0.0000, 0.0000], [0.0000, 4.2332, 0.0000], [0.0000, 0.0000, 11.0633]],
  "species": ["Pr", "Pr", "Mg", "Zn", "Zn", "Zn", "Pd", "Pd", "Pd", "Pd"],
  "frac_coords": [[0.5000, 0.0000, 0.2376], [0.0000, 0.5000, 0.7624], [0.5000, 0.5000, 0.5000], [0.0000, 0.0000, 0.5000], [0.5000, 0.0000, 0.8708], [0.0000, 0.5000, 0.1292], [0.5000, 0.5000, 0.0000], [0.0000, 0.0000, 0.0000], [0.5000, 0.0000, 0.6429], [0.0000, 0.5000, 0.3571]],
  "e_form_ev_per_atom": -0.616,
  "magmom_total_mub_per_cell": 0.00,
  "space_group": "P-4m2 (115)"
}

# 7
{
  "formula": "AlPd4Pt4",
  "functional": "GGA-PBE",
  "state": "relaxed",
  "lattice": [[3.7930, 0.0000, 1.1451], [1.8965, 5.8936, 0.5726], [0.1932, 0.0000, 6.2147]],
  "species": ["Al", "Pd", "Pd", "Pd", "Pd", "Pt", "Pt", "Pt", "Pt"],
  "frac_coords": [[0.5000, 0.5000, 0.0000], [0.5000, 0.1714, 0.3286], [0.5000, 0.8286, 0.6714], [0.1714, 0.8286, 0.3286], [0.8286, 0.1714, 0.6714], [0.1635, 0.1729, 0.0001], [0.8365, 0.8271, 0.9999], [0.8364, 0.5001, 0.3271], [0.1636, 0.4999, 0.6729]],
  "e_form_ev_per_atom": -0.316,
  "magmom_total_mub_per_cell": 0.00,
  "space_group": "I4/mmm (139)"
}

# 8
{
  "formula": "Pa2Pd2Pt",
  "functional": "GGA-PBE",
  "state": "relaxed",
  "lattice": [[4.4975, -0.1459, -0.7600], [-2.0556, 4.0026, 0.7613], [-1.2332, 0.7789, 6.2585]],
  "species": ["Pa", "Pa", "Pd", "Pd", "Pt"],
  "frac_coords": [[0.5871, 0.4129, 0.7613], [0.4129, 0.5871, 0.2387], [0.8313, 0.1687, 0.4941], [0.1687, 0.8313, 0.5059], [0.0000, 0.0000, 0.0000]],
  "e_form_ev_per_atom": -0.620,
  "magmom_total_mub_per_cell": 1.56,
  "space_group": "R-3m (166)"
}